Entry 1:
First-principles (GGA-PBE) data for an optimized crystal structure of CsBa3Ir, as listed in the Alexandria database.

It has space group Pm-3m (No. 221), with a = 6.215 Å, b = 6.215 Å, c = 6.215 Å, α = 90.00°, β = 90.00° and γ = 90.00°. The inequivalent atoms are Cs at (0.000, 0.000, 0.000), Ba at (0.000, 0.000, 0.500) and Ir at (0.500, 0.500, 0.500).

For the density of states at the Fermi level, the calculation gives 11.05 states/eV/f.u. The value obtained for the formation energy from the elements is 1.50 eV per atom. For the energy relative to the lowest polymorph listed for this composition, the calculation gives 1525 meV/atom. The value obtained for the total energy is -8.0 eV/cell. As for the crystal system: cubic.


Entry 2:
First-principles (GGA-PBE) data for an optimized crystal structure of ScAs2HSe, as listed in the Alexandria database.

It has space group P4/mmm (No. 123), with a = 3.910 Å, b = 3.910 Å, c = 5.597 Å, α = 90.00°, β = 90.00° and γ = 90.00°. The inequivalent atoms are Sc at (0.000, 0.000, 0.000), As at (0.000, 0.500, 0.500), H at (0.500, 0.500, 0.500) and Se at (0.500, 0.500, 0.000).

For the density of states at the Fermi level, the calculation gives 1.85 states/eV/f.u. For the energy relative to the lowest polymorph listed for this composition, the calculation gives 0 meV/atom. The value obtained for the total energy is -23.3 eV/cell. As for the crystal system: tetragonal.


Entry 3:
First-principles (GGA-PBE) data for an optimized crystal structure of Li2Ac3Au4, as listed in the Alexandria database.

It has space group C2/m (No. 12), with a = 12.000 Å, b = 4.559 Å, c = 9.303 Å, α = 90.00°, β = 112.79° and γ = 90.00°. The inequivalent atoms are Li at (0.157, 0.000, 0.327), Ac at (0.000, 0.500, 0.000), Ac at (0.145, 0.000, 0.687), Au at (0.078, 0.500, 0.398) and Au at (0.210, 0.000, 0.070).

For the density of states at the Fermi level, the calculation gives 5.73 states/eV/f.u. The value obtained for the formation energy from the elements is -0.69 eV per atom. The value obtained for the total energy is -70.9 eV/cell. As for the crystal system: monoclinic.


Entry 4:
First-principles (GGA-PBE) data for an optimized crystal structure of Co5Ge, as listed in the Alexandria database.

It has space group P-3m1 (No. 164), with a = 3.9851 Å, b = 3.9851 Å, c = 4.9437 Å, α = 90.00°, β = 90.00° and γ = 120.00°. The inequivalent atoms are Co at (0.0000, 0.0000, 0.0000), Co at (0.3333, 0.6667, 0.1387), Co at (0.3333, 0.6667, 0.6491) and Ge at (0.0000, 0.0000, 0.5000).

For the density of states at the Fermi level, the calculation gives 8.38 states/eV/f.u. The value obtained for the formation energy from the elements is 0.00 eV per atom. For the energy relative to the lowest polymorph listed for this composition, the calculation gives 40 meV/atom. The value obtained for the total energy is -40.2 eV/cell. As for the crystal system: trigonal.


Entry 5:
First-principles (GGA-PBE) data for an optimized crystal structure of Be2FeRe, as listed in the Alexandria database.

It has space group Cmmm (No. 65), with a = 5.220 Å, b = 6.541 Å, c = 2.566 Å, α = 90.00°, β = 90.00° and γ = 90.00°. The inequivalent atoms are Be at (0.250, 0.250, 0.000), Fe at (0.000, 0.000, 0.500) and Re at (0.000, 0.500, 0.500).

For the density of states at the Fermi level, the calculation gives 2.11 states/eV/f.u. The value obtained for the formation energy from the elements is 0.03 eV per atom. For the energy relative to the lowest polymorph listed for this composition, the calculation gives 151 meV/atom. The value obtained for the total energy is -56.5 eV/cell. As for the crystal system: orthorhombic.


Entry 6:
First-principles (GGA-PBE) data for an optimized crystal structure of BeZnS2Cl, as listed in the Alexandria database.

It has space group P4/mmm (No. 123), with a = 4.452 Å, b = 4.452 Å, c = 4.356 Å, α = 90.00°, β = 90.00° and γ = 90.00°. The inequivalent atoms are Be at (0.000, 0.000, 0.000), Zn at (0.500, 0.500, 0.500), S at (0.000, 0.500, 0.000) and Cl at (0.000, 0.000, 0.500).

For the density of states at the Fermi level, the calculation gives 3.57 states/eV/f.u. For the energy relative to the lowest polymorph listed for this composition, the calculation gives 0 meV/atom. The value obtained for the total energy is -14.6 eV/cell. As for the crystal system: tetragonal.


Values for calculated volume, A^3/atom, ordered as above
48.0, 17.1, 26.1, 11.3, 11.0, 17.3